Density functional theory data (PBE) for Tb2YHo5Er after structural relaxation.

Unit cell a=8.720 b=8.720 c=9.732 alpha=116.62 beta=116.62 gamma=90.00
Atoms (fractional coordinates):
Tb 0.115 0.385 0.000
Tb 0.615 0.115 0.000
Tb 0.385 0.885 0.000
Tb 0.885 0.615 0.000
Y 0.250 0.250 0.500
Y 0.750 0.750 0.500
Ho 0.929 0.429 0.272
Ho 0.657 0.157 0.728
Ho 0.071 0.571 0.728
Ho 0.157 0.071 0.728
Ho 0.571 0.657 0.728
Ho 0.843 0.929 0.272
Ho 0.429 0.343 0.272
Ho 0.343 0.843 0.272
Ho 0.500 0.500 0.000
Ho 0.000 0.000 0.000
Er 0.250 0.750 0.500
Er 0.750 0.250 0.500

ΔH_f (0 K) = 0.30 eV/atom
Calculated total energy = -4.500 eV/atom